(1)
Entry from Alexandria via LeMat-Bulk: CoAs2Cl after structural relaxation (PBEsol).

extended XYZ file:
```
4
Lattice="3.508 0.000 0.000 1.754 3.038 0.000 1.754 1.013 6.552" Properties=species:S:1:pos:R:3 pbc="T T T"
As 5.262 3.038 4.414
As 1.754 1.013 2.138
Co 3.508 2.025 3.276
Cl 0.000 0.000 0.000
```

Results
Formation energy (no corrections) in eV/atom: -0.105
Total magnetization in μB/f.u.: 0.000
Crystal system: trigonal
Calculated density in g/cm³: 5.809
Space-group type: No. 166
Energy relative to the lowest polymorph listed for this composition in eV/atom: 0.000


(2)
Entry from Alexandria via LeMat-Bulk: CoAsCl2 after structural relaxation (PBEsol).

extended XYZ file:
```
4
Lattice="3.078 0.000 0.000 0.000 4.869 0.000 -1.539 -2.435 6.037" Properties=species:S:1:pos:R:3 pbc="T T T"
Co 0.000 0.000 5.698
Cl 0.000 0.000 0.803
Cl 1.539 0.000 4.092
As 0.000 2.435 1.480
```

Results
Formation energy (no corrections) in eV/atom: -0.073
Total magnetization in μB/f.u.: 1.999
Crystal system: orthorhombic
Calculated density in g/cm³: 3.758
Space-group type: No. 44
Energy relative to the lowest polymorph listed for this composition in eV/atom: 0.000